A plane-wave DFT calculation with PBE with a Hubbard U was carried out for crystalline Cd2Ni2PbO6 at its relaxed geometry.

The structure in CIF format:
```
data_Cd2Ni2PbO6
_chemical_formula_sum 'Cd4 Ni4 Pb2 O12'
_space_group_name_H-M_alt 'C 1 2/m 1'
_space_group_IT_number 12
_space_group_name_Hall '-C 2y'
_cell_length_a 5.503
_cell_length_b 9.536
_cell_length_c 5.754
_cell_angle_alpha 90.00
_cell_angle_beta 109.15
_cell_angle_gamma 90.00
loop_
_atom_site_label
_atom_site_type_symbol
_atom_site_fract_x
_atom_site_fract_y
_atom_site_fract_z
Cd1 Cd 0.000 0.173 0.000
Ni1 Ni 0.000 0.335 0.500
Pb1 Pb 0.000 0.000 0.500
O1 O 0.229 0.179 0.713
O2 O 0.241 0.500 0.714
```

Total magnetization (μB per atom): 0.3636
Total DFT energy (no corrections) (eV per cell): -101.9